DFT (PBE) results for Dy5TmAs6 after structural relaxation.

Computed properties:
Density of states at the Fermi level: 1.28 states/eV/f.u.
Formation enthalpy at 0 K: -1.5316 eV per atom

Unit cell a=7.122 b=12.329 c=7.118 alpha=90.00 beta=109.48 gamma=90.00
Space group C2/m (No. 12)
Asymmetric unit:
Dy: 0.000 0.000 0.000 [2 per cell]
Dy: 0.000 0.167 0.500 [4 per cell]
Dy: 0.000 0.333 0.000 [4 per cell]
Tm: 0.000 0.500 0.500 [2 per cell]
As: 0.248 0.500 0.251 [4 per cell]
As: 0.249 0.334 0.749 [8 per cell]